First-principles (PBE) data for a relaxed Er4TmAl crystal, as listed in Alexandria.

a = 6.153 Å, b = 8.868 Å, c = 8.074 Å
α = 113.66°, β = 99.67°, γ = 112.83°
Fractional coordinates of all 12 atoms:
1 Al 0.751 0.001 0.001
2 Er 0.242 0.285 0.371
3 Er 0.040 0.162 0.763
4 Er 0.960 0.838 0.237
5 Er 0.758 0.715 0.629
6 Er 0.223 0.601 0.763
7 Al 0.249 0.999 0.999
8 Tm 0.341 0.591 0.183
9 Er 0.777 0.399 0.237
10 Tm 0.659 0.409 0.817
11 Er 0.630 0.087 0.371
12 Er 0.370 0.913 0.629

Computed properties:
Fermi-level density of states = 14.78 states/eV per cell
Formation energy = -37 meV per atom
VASP energy = -4.45 eV per atom
Energy above the most stable polymorph in this dataset = 86.0 meV per atom

***

First-principles (PBE) data for a relaxed SbAu3Br crystal, as listed in Alexandria.

a = 5.130 Å, b = 5.130 Å, c = 5.130 Å
α = 90.00°, β = 90.00°, γ = 90.00°
Fractional coordinates of all 5 atoms:
1 Br 0.000 0.000 0.000
2 Au 0.500 0.000 0.000
3 Au 0.000 0.500 0.000
4 Au 0.000 0.000 0.500
5 Sb 0.500 0.500 0.500

Computed properties:
Fermi-level density of states = 4.95 states/eV per cell
VASP energy = -2.19 eV per atom
Energy above the most stable polymorph in this dataset = 527.8 meV per atom

***

First-principles (PBE) data for a relaxed CaTbSm crystal, as listed in Alexandria.

a = 3.621 Å, b = 3.673 Å, c = 16.333 Å
α = 89.95°, β = 96.36°, γ = 90.00°
Fractional coordinates of all 6 atoms:
1 Tb 0.365 0.248 0.730
2 Ca 0.949 0.748 0.898
3 Ca 0.051 0.252 0.102
4 Sm 0.210 0.251 0.419
5 Sm 0.790 0.749 0.581
6 Tb 0.635 0.752 0.270

Computed properties:
Fermi-level density of states = 8.58 states/eV per cell
Formation energy = 73 meV per atom
VASP energy = -3.71 eV per atom
Energy above the most stable polymorph in this dataset = 36.1 meV per atom

***

First-principles (PBE) data for a relaxed Er2ZnOs crystal, as listed in Alexandria.

a = 3.958 Å, b = 3.958 Å, c = 9.574 Å
α = 78.07°, β = 78.07°, γ = 60.00°
Fractional coordinates of all 4 atoms:
1 Er 0.114 0.114 0.658
2 Os 0.500 0.500 0.500
3 Er 0.886 0.886 0.342
4 Zn 0.000 0.000 0.000

Computed properties:
Fermi-level density of states = 2.88 states/eV per cell
Formation energy = 265 meV per atom
VASP energy = -5.14 eV per atom
Energy above the most stable polymorph in this dataset = 606.4 meV per atom

***

First-principles (PBE) data for a relaxed CdPF6 crystal, as listed in Alexandria.

a = 5.349 Å, b = 5.356 Å, c = 5.797 Å
α = 62.58°, β = 62.53°, γ = 59.94°
Fractional coordinates of all 8 atoms:
1 F 0.007 0.338 0.806
2 F 0.151 0.995 0.193
3 F 0.660 0.154 0.192
4 F 0.849 0.005 0.807
5 F 0.993 0.662 0.194
6 P 0.000 0.000 0.000
7 Cd 0.500 0.500 0.500
8 F 0.340 0.846 0.808

Computed properties:
Fermi-level density of states = 2.51 states/eV per cell
VASP energy = -4.43 eV per atom

***

First-principles (PBE) data for a relaxed RbCrSe3 crystal, as listed in Alexandria.

a = 4.932 Å, b = 4.932 Å, c = 4.932 Å
α = 90.00°, β = 90.00°, γ = 90.00°
Fractional coordinates of all 5 atoms:
1 Cr 0.000 0.000 0.000
2 Se 0.500 0.000 0.000
3 Se 0.000 0.000 0.500
4 Rb 0.500 0.500 0.500
5 Se 0.000 0.500 0.000

Computed properties:
Fermi-level density of states = 7.16 states/eV per cell
VASP energy = -4.48 eV per atom
Energy above the most stable polymorph in this dataset = 208.2 meV per atom

***

First-principles (PBE) data for a relaxed GdAlPt2 crystal, as listed in Alexandria.

a = 3.143 Å, b = 3.143 Å, c = 7.229 Å
α = 90.00°, β = 90.00°, γ = 90.00°
Fractional coordinates of all 4 atoms:
1 Pt 0.000 0.000 0.204
2 Pt 0.000 0.000 0.796
3 Gd 0.500 0.500 0.500
4 Al 0.500 0.500 0.000

Computed properties:
Fermi-level density of states = 2.04 states/eV per cell
Formation energy = -1004 meV per atom
VASP energy = -8.48 eV per atom

***

Q: What is the formula in the fourth record?
A: Er2ZnOs

***

Q: Which of these has the lowest VASP energy?
A: GdAlPt2

***

What did the sixth record say?
First-principles (PBE) data for a relaxed RbCrSe3 crystal, as listed in Alexandria.

a = 4.932 Å, b = 4.932 Å, c = 4.932 Å
α = 90.00°, β = 90.00°, γ = 90.00°
Fractional coordinates of all 5 atoms:
1 Cr 0.000 0.000 0.000
2 Se 0.500 0.000 0.000
3 Se 0.000 0.000 0.500
4 Rb 0.500 0.500 0.500
5 Se 0.000 0.500 0.000

Computed properties:
Fermi-level density of states = 7.16 states/eV per cell
VASP energy = -4.48 eV per atom
Energy above the most stable polymorph in this dataset = 208.2 meV per atom